BaTl2Cd2Pb, optimized geometry, DFT PBE-GGA; formation energy from the elements = -0.159 eV/atom; N(E_F) = 0.742 states/eV per atom; SG = No. 58
1.0
-5.0295 -0.0714 -2.0067
-2.4165 -6.7065 6.2954
-1.9521 5.1250 4.7104
Tl Cd Pb Ba
4 4 2 2
Direct
0.5000 0.1628 0.7565
0.0000 0.3372 0.2565
0.0000 0.6628 0.7435
0.5000 0.8372 0.2435
0.5000 0.1616 0.2290
0.0000 0.3384 0.7290
0.5000 0.8384 0.7710
0.0000 0.6616 0.2710
0.5000 0.5000 0.5000
0.0000 0.0000 0.0000
0.5000 0.5000 0.0000
0.0000 0.0000 0.5000